A relaxed structure of CsCrSe2Br. Source: Alexandria, functional PBE.

Unit cell a=5.7328 b=5.7328 c=6.5379 alpha=90.00 beta=90.00 gamma=90.00
Last column: magnetic moment on the atom in μB.
Element x y z (fractional)
Cr  0.5000  0.5000  0.5000  4.34
Se  0.0000  0.5000  0.0000  -0.13
Br  0.0000  0.0000  0.5000  -0.06
Cs  0.0000  0.0000  0.0000  0.00
Se  0.5000  0.0000  0.0000  -0.13

Output
**Calculated total energy**: -14.4 eV per cell
**E above lowest polymorph**: 7.834 eV/f.u.
**V**: 214.9 Å³/cell
**Formation energy without anion corrections**: 0.940 eV per atom